1.
The following is a DFT calculation (GGA-PBE) of an optimized crystal structure of Dy4ErTh4.

a = 5.0465 Å, b = 7.9429 Å, c = 7.9429 Å
α = 84.21°, β = 71.48°, γ = 71.48°
Closest atoms and distances in Å follow each position.
Positions (direct):
Th  0.3344  0.3313  0.0000  4 Th 3.53-3.58, 6 Dy 3.53-3.56, 2 Er 3.55
Th  0.6657  0.0000  0.6687  4 Th 3.53-3.58, 6 Dy 3.53-3.56, 2 Er 3.55
Th  0.6656  0.6687  0.0000  4 Th 3.53-3.58, 6 Dy 3.53-3.56, 2 Er 3.55
Th  0.3343  0.0000  0.3313  4 Th 3.53-3.58, 6 Dy 3.53-3.56, 2 Er 3.55
Dy  0.0000  0.3283  0.6718  1 Er 3.50, 6 Th 3.53-3.56, 5 Dy 3.61-3.66
Dy  0.0000  0.6717  0.3282  1 Er 3.50, 6 Th 3.53-3.56, 5 Dy 3.61-3.66
Dy  0.3283  0.6718  0.6717  1 Er 3.50, 6 Th 3.53-3.56, 5 Dy 3.61-3.66
Dy  0.6717  0.3282  0.3283  1 Er 3.50, 6 Th 3.53-3.56, 5 Dy 3.61-3.66
Er  0.0000  0.0000  0.0000  4 Dy 3.50, 8 Th 3.55

Results
For the formation energy, the calculation gives 4.3 kJ/mol of atoms. The magnetic moment comes out at 0.000 μB per atom. For the density, the calculation gives 10.13 g/cm3. Its energy is -5.8060 eV/atom.


2.
The following is a DFT calculation (GGA-PBE) of an optimized crystal structure of DyErTh2.

a = 14.2183 Å, b = 14.2183 Å, c = 3.5101 Å
α = 88.95°, β = 88.95°, γ = 155.69°
Closest atoms and distances in Å follow each position.
Positions (direct):
Th  0.3004  0.1940  0.9630  7 Th 3.26-3.51, 1 Er 3.31
Th  0.1940  0.3004  0.4630  7 Th 3.26-3.51, 1 Er 3.31
Th  0.8060  0.6996  0.5370  7 Th 3.26-3.51, 1 Er 3.31
Th  0.6996  0.8060  0.0370  7 Th 3.26-3.51, 1 Er 3.31
Er  0.6508  0.3492  0.2500  2 Dy 3.29, 2 Th 3.31, 2 Er 3.51
Er  0.3492  0.6508  0.7500  2 Dy 3.29, 2 Th 3.31, 2 Er 3.51
Dy  0.0000  0.5000  0.5000  2 Er 3.29, 6 Dy 3.34-3.60
Dy  0.5000  0.0000  0.0000  2 Er 3.29, 6 Dy 3.34-3.60

Results
The relative energy among the computed polymorphs is 1.94 eV/f.u. For the formation energy, the calculation gives 49.6 kJ/mol of atoms. The magnetic moment comes out at 0.000 μB per atom. For the density, the calculation gives 9.06 g/cm3. Its energy is -5.4866 eV/atom.


3.
The following is a DFT calculation (GGA-PBE) of an optimized crystal structure of DyEr2Th.

a = 7.1338 Å, b = 7.1260 Å, c = 6.0943 Å
α = 90.00°, β = 125.82°, γ = 90.00°
Closest atoms and distances in Å follow each position.
Positions (direct):
Th  0.7501  0.7500  0.0000  8 Er 3.53, 4 Dy 3.56-3.57
Th  0.2499  0.2500  0.0000  8 Er 3.53, 4 Dy 3.56-3.57
Dy  0.2503  0.7500  0.0000  8 Er 3.53, 4 Th 3.56-3.57
Dy  0.7497  0.2500  0.0000  8 Er 3.53, 4 Th 3.56-3.57
Er  0.2498  0.0000  0.4998  4 Th 3.53, 4 Dy 3.53, 4 Er 3.56-3.57
Er  0.7501  0.5000  0.5002  4 Th 3.53, 4 Dy 3.53, 4 Er 3.56-3.57
Er  0.7502  0.0000  0.5002  4 Th 3.53, 4 Dy 3.53, 4 Er 3.56-3.57
Er  0.2499  0.5000  0.4998  4 Th 3.53, 4 Dy 3.53, 4 Er 3.56-3.57

Results
The relative energy among the computed polymorphs is 0.22 eV/f.u. For the formation energy, the calculation gives 4.4 kJ/mol of atoms. The magnetic moment comes out at 0.000 μB per atom. For the density, the calculation gives 9.64 g/cm3. Its energy is -5.2409 eV/atom.


4.
The following is a DFT calculation (GGA-PBE) of an optimized crystal structure of DyEr6Th4.

a = 7.8216 Å, b = 7.8216 Å, c = 8.4966 Å
α = 117.41°, β = 117.41°, γ = 90.00°
Closest atoms and distances in Å follow each position.
Positions (direct):
Th  0.0940  0.7577  0.8516  4 Er 3.06-3.40, 2 Th 3.25
Th  0.2423  0.2423  0.1484  4 Er 3.06-3.40, 2 Th 3.25
Th  0.7577  0.0940  0.8516  4 Er 3.06-3.40, 2 Th 3.25
Th  0.9060  0.9060  0.1484  4 Er 3.06-3.40, 2 Th 3.25
Er  0.9342  0.4270  0.3612  4 Th 3.30-3.57, 2 Er 3.62, 1 Dy 3.65
Er  0.0000  0.5000  0.0000  4 Th 3.06
Er  0.5730  0.5730  0.6388  4 Th 3.30-3.57, 2 Er 3.62, 1 Dy 3.65
Er  0.0658  0.0658  0.6388  4 Th 3.30-3.57, 2 Er 3.62, 1 Dy 3.65
Er  0.4270  0.9342  0.3612  4 Th 3.30-3.57, 2 Er 3.62, 1 Dy 3.65
Er  0.5000  0.0000  0.0000  4 Th 3.06
Dy  0.5000  0.5000  0.0000  8 Er 3.65-3.91, 4 Th 3.79

Results
The relative energy among the computed polymorphs is 3.89 eV/f.u. For the formation energy, the calculation gives 49.8 kJ/mol of atoms. The magnetic moment comes out at 0.000 μB per atom. For the density, the calculation gives 8.81 g/cm3. Its energy is -5.0887 eV/atom.


5.
The following is a DFT calculation (GGA-PBE) of an optimized crystal structure of Dy4ErTh5.

a = 3.4401 Å, b = 11.1557 Å, c = 8.9582 Å
α = 72.93°, β = 101.07°, γ = 90.00°
Closest atoms and distances in Å follow each position.
Positions (direct):
Th  0.1972  0.4062  0.3943  5 Th 3.24-3.62, 2 Dy 3.42-3.47
Th  0.5000  0.5000  0.0000  10 Th 3.44-3.81, 4 Dy 3.76
Th  0.8028  0.5938  0.6057  5 Th 3.24-3.62, 2 Dy 3.42-3.47
Th  0.1088  0.7060  0.2176  3 Th 3.24-3.44, 3 Dy 3.39-3.56
Th  0.8912  0.2940  0.7824  3 Th 3.24-3.44, 3 Dy 3.39-3.56
Dy  0.0934  0.1914  0.1868  4 Th 3.39-3.76, 5 Dy 3.44-3.56, 2 Er 3.51
Dy  0.3033  0.0891  0.6065  1 Er 3.30, 7 Dy 3.44-3.56, 3 Th 3.47-3.56
Dy  0.9066  0.8086  0.8132  4 Th 3.39-3.76, 5 Dy 3.44-3.56, 2 Er 3.51
Dy  0.6967  0.9109  0.3935  1 Er 3.30, 7 Dy 3.44-3.56, 3 Th 3.47-3.56
Er  0.5000  0.0000  0.0000  6 Dy 3.30-3.51, 2 Er 3.44, 4 Th 3.69

Results
For the formation energy, the calculation gives 12.6 kJ/mol of atoms. The magnetic moment comes out at 0.000 μB per atom. For the density, the calculation gives 10.20 g/cm3. Its energy is -5.8760 eV/atom.


6.
The following is a DFT calculation (GGA-PBE) of an optimized crystal structure of Dy12ErTh7.

a = 9.9767 Å, b = 9.9767 Å, c = 9.9767 Å
α = 109.47°, β = 109.47°, γ = 109.47°
Closest atoms and distances in Å follow each position.
Positions (direct):
Dy  0.7460  0.2529  0.9989  2 Th 2.88
Dy  0.2540  0.7471  0.0011  2 Th 2.88
Dy  0.2529  0.9989  0.7460  2 Th 2.88
Dy  0.4931  0.7460  0.7471  2 Th 2.88
Dy  0.5069  0.2540  0.2529  2 Th 2.88
Dy  0.7471  0.0011  0.2540  2 Th 2.88
Dy  0.7471  0.4931  0.7460  2 Th 2.88
Dy  0.0011  0.2540  0.7471  2 Th 2.88
Dy  0.2529  0.5069  0.2540  2 Th 2.88
Dy  0.7460  0.7471  0.4931  2 Th 2.88
Dy  0.9989  0.7460  0.2529  2 Th 2.88
Dy  0.2540  0.2529  0.5069  2 Th 2.88
Er  0.0000  0.0000  0.0000  12 Dy 4.13
Th  0.5000  0.5000  0.5000  6 Dy 2.88
Th  0.0000  0.5000  0.0000  6 Dy 2.88
Th  0.0000  0.0000  0.5000  6 Dy 2.88
Th  0.0000  0.5000  0.5000  12 Dy 4.02-4.08
Th  0.5000  0.0000  0.5000  12 Dy 4.02-4.08
Th  0.5000  0.5000  0.0000  12 Dy 4.02-4.08
Th  0.5000  0.0000  0.0000  6 Dy 2.88

Results
For the formation energy, the calculation gives 92.7 kJ/mol of atoms. The magnetic moment comes out at 0.000 μB per atom. For the density, the calculation gives 8.13 g/cm3. Its energy is -4.6254 eV/atom.


7.
The following is a DFT calculation (GGA-PBE) of an optimized crystal structure of Dy2Er8Th3.

a = 6.1365 Å, b = 6.1353 Å, c = 11.1114 Å
α = 100.52°, β = 89.95°, γ = 80.31°
Closest atoms and distances in Å follow each position.
Positions (direct):
Er  0.1133  0.3061  0.2288  4 Th 3.47-3.54, 6 Er 3.52-3.56, 2 Dy 3.53-3.55
Er  0.4227  0.4625  0.8482  6 Er 3.48-3.56, 5 Th 3.49-3.54, 1 Dy 3.55
Er  0.8867  0.6939  0.7712  4 Th 3.47-3.54, 6 Er 3.52-3.56, 2 Dy 3.53-3.55
Er  0.5773  0.5375  0.1518  6 Er 3.48-3.56, 5 Th 3.49-3.54, 1 Dy 3.55
Er  0.1930  0.8469  0.3846  7 Er 3.53-3.56, 4 Dy 3.53-3.55, 1 Th 3.54
Er  0.3438  0.9244  0.6936  2 Th 3.51-3.52, 7 Er 3.52-3.56, 3 Dy 3.53-3.55
Er  0.6562  0.0756  0.3064  2 Th 3.51-3.52, 7 Er 3.52-3.56, 3 Dy 3.53-3.55
Er  0.8070  0.1531  0.6154  7 Er 3.53-3.56, 4 Dy 3.53-3.55, 1 Th 3.54
Dy  0.7308  0.6161  0.4629  10 Er 3.53-3.55, 2 Dy 3.53-3.54
Dy  0.2692  0.3839  0.5371  10 Er 3.53-3.55, 2 Dy 3.53-3.54
Th  0.0386  0.7676  0.0750  8 Er 3.47-3.54, 4 Th 3.51-3.54
Th  0.5000  0.0000  0.0000  8 Er 3.51-3.53, 4 Th 3.54
Th  0.9614  0.2324  0.9250  8 Er 3.47-3.54, 4 Th 3.51-3.54

Results
The relative energy among the computed polymorphs is 0.00 eV/f.u. For the formation energy, the calculation gives 2.6 kJ/mol of atoms. The magnetic moment comes out at 0.000 μB per atom. For the density, the calculation gives 9.67 g/cm3. Its energy is -5.2013 eV/atom.


8.
The following is a DFT calculation (GGA-PBE) of an optimized crystal structure of Dy7ErTh3.

a = 6.6784 Å, b = 6.4314 Å, c = 8.6215 Å
α = 82.93°, β = 101.36°, γ = 83.23°
Closest atoms and distances in Å follow each position.
Positions (direct):
Dy  0.2857  0.5712  0.8555  6 Dy 3.35-3.56, 3 Th 3.50-3.74, 1 Er 3.68
Dy  0.2303  0.2937  0.2049  1 Er 3.33, 4 Th 3.35-3.59, 6 Dy 3.37-3.65
Dy  0.2690  0.9919  0.5746  6 Dy 3.38-3.65, 1 Er 3.54, 2 Th 3.61-3.70
Dy  0.7143  0.4288  0.1445  6 Dy 3.35-3.56, 3 Th 3.50-3.74, 1 Er 3.68
Dy  0.0000  0.5000  0.5000  2 Er 3.34, 6 Dy 3.39-3.53, 2 Th 3.45
Dy  0.7310  0.0081  0.4254  6 Dy 3.38-3.65, 1 Er 3.54, 2 Th 3.61-3.70
Dy  0.7697  0.7063  0.7951  1 Er 3.33, 4 Th 3.35-3.59, 6 Dy 3.37-3.65
Er  0.5000  0.5000  0.5000  8 Dy 3.33-3.68
Th  0.5000  0.0000  0.0000  8 Dy 3.35-3.74, 2 Th 3.68
Th  0.9464  0.1760  0.8346  2 Th 3.32-3.68, 6 Dy 3.40-3.61
Th  0.0536  0.8240  0.1654  2 Th 3.32-3.68, 6 Dy 3.40-3.61

Results
For the formation energy, the calculation gives 14.7 kJ/mol of atoms. The magnetic moment comes out at 0.000 μB per atom. For the density, the calculation gives 9.32 g/cm3. Its energy is -5.2151 eV/atom.